P) Material: K3Sc
Method: DFT, GGA-PBEsol
State: relaxed

Structure (CIF):
```
data_K3Sc
_cell_length_a 4.1516
_cell_length_b 6.3457
_cell_length_c 14.4362
_cell_angle_alpha 90.00
_cell_angle_beta 90.00
_cell_angle_gamma 90.00
_symmetry_space_group_name_H-M 'C m m m'
_symmetry_Int_Tables_number 65
_symmetry_space_group_name_Hall '-C 2 2'
loop_
_atom_site_label
_atom_site_type_symbol
_atom_site_fract_x
_atom_site_fract_y
_atom_site_fract_z
K1 K 0.0000 0.0000 0.0000
K2 K 0.0000 0.5000 0.2792
Sc1 Sc 0.0000 0.0000 0.5000
```

calculated volume	380.3	Å³/cell
DOS at the Fermi energy	8.5	states/eV per cell

---

Q) Material: K3Sc
Method: DFT, GGA-PBEsol
State: relaxed

Structure (CIF):
```
data_K3Sc
_cell_length_a 7.4960
_cell_length_b 7.4960
_cell_length_c 7.4960
_cell_angle_alpha 90.00
_cell_angle_beta 90.00
_cell_angle_gamma 90.00
_symmetry_space_group_name_H-M 'P m -3 m'
_symmetry_Int_Tables_number 221
_symmetry_space_group_name_Hall '-P 4 2 3'
loop_
_atom_site_label
_atom_site_type_symbol
_atom_site_fract_x
_atom_site_fract_y
_atom_site_fract_z
K1 K 0.0000 0.0000 0.5000
Sc1 Sc 0.0000 0.0000 0.0000
```

calculated volume	421.2	Å³/cell
DOS at the Fermi energy	7.9	states/eV per cell

---

Most stable one: P), least stable one: Q).

---

P) Material: KSc2Ta
Method: DFT, GGA-PBEsol
State: relaxed

Structure (CIF):
```
data_KSc2Ta
_cell_length_a 9.3489
_cell_length_b 2.9876
_cell_length_c 7.8747
_cell_angle_alpha 90.00
_cell_angle_beta 94.25
_cell_angle_gamma 90.00
_symmetry_space_group_name_H-M 'C 1 2/m 1'
_symmetry_Int_Tables_number 12
_symmetry_space_group_name_Hall '-C 2y'
loop_
_atom_site_label
_atom_site_type_symbol
_atom_site_fract_x
_atom_site_fract_y
_atom_site_fract_z
K1 K 0.0000 0.0000 0.0000
Sc1 Sc 0.2320 0.0000 0.6685
Ta1 Ta 0.0000 0.5000 0.5000
```

calculated volume	219.3	Å³/cell
DOS at the Fermi energy	14.1	states/eV per cell

---

Q) Material: KSc2Ta
Method: DFT, GGA-PBEsol
State: relaxed

Structure (CIF):
```
data_KSc2Ta
_cell_length_a 3.1784
_cell_length_b 4.1041
_cell_length_c 8.6452
_cell_angle_alpha 90.00
_cell_angle_beta 90.00
_cell_angle_gamma 90.00
_symmetry_space_group_name_H-M 'P m m 2'
_symmetry_Int_Tables_number 25
_symmetry_space_group_name_Hall 'P 2 -2'
loop_
_atom_site_label
_atom_site_type_symbol
_atom_site_fract_x
_atom_site_fract_y
_atom_site_fract_z
K1 K 0.0000 0.0000 0.0000
Sc1 Sc 0.0000 0.0000 0.5558
Sc2 Sc 0.5000 0.5000 0.3596
Ta1 Ta 0.5000 0.5000 0.6909
```

calculated volume	112.8	Å³/cell
DOS at the Fermi energy	4.3	states/eV per cell

---

R) Material: KSc2Ta
Method: DFT, GGA-PBEsol
State: relaxed

Structure (CIF):
```
data_KSc2Ta
_cell_length_a 2.9958
_cell_length_b 2.9958
_cell_length_c 11.3599
_cell_angle_alpha 90.00
_cell_angle_beta 90.00
_cell_angle_gamma 90.00
_symmetry_space_group_name_H-M 'P 4 m m'
_symmetry_Int_Tables_number 99
_symmetry_space_group_name_Hall 'P 4 -2'
loop_
_atom_site_label
_atom_site_type_symbol
_atom_site_fract_x
_atom_site_fract_y
_atom_site_fract_z
K1 K 0.0000 0.0000 0.0000
Sc1 Sc 0.0000 0.0000 0.5369
Sc2 Sc 0.5000 0.5000 0.3055
Ta1 Ta 0.5000 0.5000 0.7162
```

calculated volume	102.0	Å³/cell
DOS at the Fermi energy	3.0	states/eV per cell

---

Most stable one: R), least stable one: Q).

---

P) Material: K2ScTc
Method: DFT, GGA-PBEsol
State: relaxed

Structure (CIF):
```
data_K2ScTc
_cell_length_a 7.7849
_cell_length_b 7.7849
_cell_length_c 7.7849
_cell_angle_alpha 90.00
_cell_angle_beta 90.00
_cell_angle_gamma 90.00
_symmetry_space_group_name_H-M 'F m -3 m'
_symmetry_Int_Tables_number 225
_symmetry_space_group_name_Hall '-F 4 2 3'
loop_
_atom_site_label
_atom_site_type_symbol
_atom_site_fract_x
_atom_site_fract_y
_atom_site_fract_z
K1 K 0.2500 0.2500 0.2500
Sc1 Sc 0.0000 0.0000 0.0000
Tc1 Tc 0.0000 0.0000 0.5000
```

calculated volume	471.8	Å³/cell
DOS at the Fermi energy	10.3	states/eV per cell

---

Q) Material: K2ScTc
Method: DFT, GGA-PBEsol
State: relaxed

Structure (CIF):
```
data_K2ScTc
_cell_length_a 3.1136
_cell_length_b 6.4766
_cell_length_c 12.7394
_cell_angle_alpha 90.00
_cell_angle_beta 90.00
_cell_angle_gamma 90.00
_symmetry_space_group_name_H-M 'I m m 2'
_symmetry_Int_Tables_number 44
_symmetry_space_group_name_Hall 'I 2 -2'
loop_
_atom_site_label
_atom_site_type_symbol
_atom_site_fract_x
_atom_site_fract_y
_atom_site_fract_z
K1 K 0.0000 0.0000 0.0000
K2 K 0.0000 0.5000 0.1986
Sc1 Sc 0.0000 0.0000 0.3768
Tc1 Tc 0.0000 0.5000 0.7345
```

calculated volume	256.9	Å³/cell
DOS at the Fermi energy	6.0	states/eV per cell

---

Most stable one: Q), least stable one: P).